The following is a PBE calculation of MgHg after structural relaxation, from the Alexandria database.

Unit cell a=4.9818 b=4.9818 c=8.9069 alpha=90.00 beta=90.00 gamma=120.00
Space group P6_3/mmc (No. 194)
One atom of each set of equivalent atoms:
Mg1 0.0000 0.0000 0.2500
Mg2 0.3333 0.6667 0.2500
Hg1 0.3333 0.6667 0.5796

=====

The following is a PBE calculation of MgHg2 after structural relaxation, from the Alexandria database.

Unit cell a=13.183 b=13.183 c=13.183 alpha=90.00 beta=90.00 gamma=90.00
Space group Fd-3m (No. 227, origin choice 2)
One atom of each set of equivalent atoms:
Mg1 0.034 0.034 0.216
Hg1 0.000 0.000 0.000
Hg2 0.058 0.375 0.875

=====

Energy of formation from the pure elements for the records above, in order: 18, -110 meV/atom